# 1
A relaxed structure of La2HfP4. Source: Alexandria via LeMat-Bulk, functional PBE.

a = 4.9355 Å, b = 4.9355 Å, c = 14.5899 Å
α = 90.00°, β = 90.00°, γ = 90.00°
Last column: nearest neighbours and their distance in Å.
Fractional coordinates of all 14 atoms:
La 0.0000 0.0000 0.1289  5 P 2.84-3.10
La 0.0000 0.0000 0.8711  5 P 2.84-3.10
La 0.5000 0.5000 0.3711  5 P 2.84-3.10
La 0.5000 0.5000 0.6289  5 P 2.84-3.10
Hf 0.0000 0.0000 0.5000  6 P 2.47-2.57
Hf 0.5000 0.5000 0.0000  6 P 2.47-2.57
P 0.0000 0.0000 0.3238  1 Hf 2.57, 1 La 2.84
P 0.0000 0.0000 0.6762  1 Hf 2.57, 1 La 2.84
P 0.0000 0.5000 0.0000  2 Hf 2.47
P 0.0000 0.5000 0.5000  2 Hf 2.47
P 0.5000 0.0000 0.0000  2 Hf 2.47
P 0.5000 0.0000 0.5000  2 Hf 2.47
P 0.5000 0.5000 0.1762  1 Hf 2.57, 1 La 2.84
P 0.5000 0.5000 0.8238  1 Hf 2.57, 1 La 2.84

Energy of formation (eV/atom): -0.95
Electronic total energy (eV per atom): -6.87
Symmetry: I4/mmm
Calculated density (g/cm³): 5.4


# 2
A relaxed structure of ZnTcCl2. Source: Alexandria via LeMat-Bulk, functional PBE.

a = 3.1498 Å, b = 5.6400 Å, c = 9.2732 Å
α = 90.00°, β = 90.00°, γ = 90.00°
Last column: nearest neighbours and their distance in Å.
Fractional coordinates of all 8 atoms:
Zn 0.0000 0.0000 0.0000  2 Cl 2.31
Zn 0.5000 0.5000 0.0000  2 Cl 2.31
Tc 0.0000 0.5000 0.2321  2 Cl 2.38
Tc 0.5000 0.0000 0.2321  2 Cl 2.38
Cl 0.0000 0.0000 0.4242  2 Tc 2.38
Cl 0.0000 0.5000 0.8177  2 Zn 2.31
Cl 0.5000 0.0000 0.8177  2 Zn 2.31
Cl 0.5000 0.5000 0.4242  2 Tc 2.38

Energy relative to the lowest polymorph listed for this composition (meV per atom): 185
Electronic total energy (eV per atom): -3.90
Formation energy (no corrections) (eV per atom): -0.06
Symmetry: Cmm2
Calculated density (g/cm³): 4.7


# 3
A relaxed structure of CuNi2MoH. Source: Alexandria via LeMat-Bulk, functional PBE.

a = 3.7030 Å, b = 3.7030 Å, c = 3.8523 Å
α = 90.00°, β = 90.00°, γ = 90.00°
Last column: nearest neighbours and their distance in Å.
Fractional coordinates of all 5 atoms:
Cu 0.0000 0.0000 0.0000  4 Mo 2.62, 8 Ni 2.67
Ni 0.0000 0.5000 0.5000  2 H 1.85
Ni 0.5000 0.0000 0.5000  2 H 1.85
Mo 0.5000 0.5000 0.0000  2 H 1.93
H 0.5000 0.5000 0.5000  4 Ni 1.85, 2 Mo 1.93

Electronic total energy (eV per atom): -5.76
Symmetry: P4/mmm
Calculated density (g/cm³): 8.7


# 4
A relaxed structure of Ba2InSn4. Source: Alexandria via LeMat-Bulk, functional PBE.

a = 5.6870 Å, b = 5.6870 Å, c = 17.2523 Å
α = 90.00°, β = 90.00°, γ = 90.00°
Last column: nearest neighbours and their distance in Å.
Fractional coordinates of all 14 atoms:
Ba 0.0000 0.0000 0.1372  5 Sn 3.47-3.70
Ba 0.0000 0.0000 0.8628  5 Sn 3.47-3.70
Ba 0.5000 0.5000 0.3628  5 Sn 3.47-3.70
Ba 0.5000 0.5000 0.6372  5 Sn 3.47-3.70
In 0.0000 0.0000 0.5000  6 Sn 2.79-2.84
In 0.5000 0.5000 0.0000  6 Sn 2.79-2.84
Sn 0.0000 0.0000 0.3384  1 In 2.79
Sn 0.0000 0.0000 0.6616  1 In 2.79
Sn 0.0000 0.5000 0.0000  2 In 2.84
Sn 0.0000 0.5000 0.5000  2 In 2.84
Sn 0.5000 0.0000 0.0000  2 In 2.84
Sn 0.5000 0.0000 0.5000  2 In 2.84
Sn 0.5000 0.5000 0.1616  1 In 2.79
Sn 0.5000 0.5000 0.8384  1 In 2.79

Energy relative to the lowest polymorph listed for this composition (meV per atom): 355
Energy of formation (eV/atom): -0.10
Electronic total energy (eV per atom): -3.32
Symmetry: I4/mmm
Calculated density (g/cm³): 5.1


# 5
A relaxed structure of Cd3GaSn. Source: Alexandria via LeMat-Bulk, functional PBE.

a = 5.5944 Å, b = 5.5944 Å, c = 5.5944 Å
α = 90.00°, β = 90.00°, γ = 90.00°
Last column: nearest neighbours and their distance in Å.
Fractional coordinates of all 5 atoms:
Cd 0.0000 0.0000 0.5000  2 Sn 2.80
Cd 0.0000 0.5000 0.0000  2 Sn 2.80
Cd 0.5000 0.0000 0.0000  2 Sn 2.80
Ga 0.5000 0.5000 0.5000  12 Cd 3.96
Sn 0.0000 0.0000 0.0000  6 Cd 2.80

Energy relative to the lowest polymorph listed for this composition (meV per atom): 423
Energy of formation (eV/atom): 0.47
Electronic total energy (eV per atom): -1.48
Symmetry: Pm-3m
Calculated density (g/cm³): 5.0


# 6
A relaxed structure of Sr6Tl5Hg. Source: Alexandria via LeMat-Bulk, functional PBE.

a = 9.1463 Å, b = 9.1463 Å, c = 8.1734 Å
α = 90.00°, β = 90.00°, γ = 143.25°
Last column: nearest neighbours and their distance in Å.
Fractional coordinates of all 12 atoms:
Sr 0.0000 0.0000 0.2475  2 Hg 3.52, 6 Tl 3.55-3.57
Sr 0.0000 0.0000 0.7525  2 Hg 3.52, 6 Tl 3.55-3.57
Sr 0.3351 0.6649 0.2500  7 Tl 3.52-3.56, 1 Hg 3.52
Sr 0.3351 0.6649 0.7500  7 Tl 3.52-3.56, 1 Hg 3.52
Sr 0.6649 0.3351 0.2500  7 Tl 3.52-3.56, 1 Hg 3.52
Sr 0.6649 0.3351 0.7500  7 Tl 3.52-3.56, 1 Hg 3.52
Tl 0.1670 0.8330 0.5000  8 Sr 3.53-3.56
Tl 0.1696 0.8304 0.0000  8 Sr 3.53-3.57
Tl 0.5000 0.5000 0.5000  8 Sr 3.52-3.55
Tl 0.8304 0.1696 0.0000  8 Sr 3.53-3.57
Tl 0.8330 0.1670 0.5000  8 Sr 3.53-3.56
Hg 0.5000 0.5000 0.0000  8 Sr 3.52

Energy of formation (eV/atom): -0.45
Electronic total energy (eV per atom): -2.30
Symmetry: Cmmm
Calculated density (g/cm³): 7.1


# 7
A relaxed structure of VCuSb2I. Source: Alexandria via LeMat-Bulk, functional PBE.

a = 5.0263 Å, b = 5.0263 Å, c = 5.7115 Å
α = 90.00°, β = 90.00°, γ = 90.00°
Last column: nearest neighbours and their distance in Å.
Fractional coordinates of all 5 atoms:
V 0.0000 0.0000 0.0000  4 Sb 2.51
Cu 0.5000 0.5000 0.5000  4 I 3.55, 8 Sb 3.80
Sb 0.0000 0.5000 0.0000  2 V 2.51
Sb 0.5000 0.0000 0.0000  2 V 2.51
I 0.0000 0.0000 0.5000  2 V 2.86

Energy relative to the lowest polymorph listed for this composition (meV per atom): 0
Electronic total energy (eV per atom): -3.93
Formation energy (no corrections) (eV per atom): 0.67
Symmetry: P4/mmm
Calculated density (g/cm³): 5.6


# 8
A relaxed structure of Hf2Ga2Au3. Source: Alexandria via LeMat-Bulk, functional PBE.

a = 4.3663 Å, b = 3.0573 Å, c = 10.2230 Å
α = 90.00°, β = 102.32°, γ = 90.00°
Last column: nearest neighbours and their distance in Å.
Fractional coordinates of all 7 atoms:
Hf 0.0789 0.0000 0.1588  4 Ga 2.91, 6 Au 2.97-3.10, 3 Hf 3.06-3.17
Hf 0.9211 0.0000 0.8412  4 Ga 2.91, 6 Au 2.97-3.10, 3 Hf 3.06-3.17
Ga 0.3619 0.5000 0.7232  3 Au 2.57-2.76
Ga 0.6381 0.5000 0.2768  3 Au 2.57-2.76
Au 0.2065 0.5000 0.4134  2 Ga 2.57, 2 Au 2.78-2.79
Au 0.5000 0.5000 0.0000  2 Ga 2.76, 2 Au 3.06
Au 0.7935 0.5000 0.5866  2 Ga 2.57, 2 Au 2.78-2.79

Energy of formation (eV/atom): -0.30
Electronic total energy (eV per atom): -5.41
Symmetry: P2/m
Calculated density (g/cm³): 13.5


# 9
A relaxed structure of TbNdTmAl. Source: Alexandria via LeMat-Bulk, functional PBE.

a = 3.5271 Å, b = 3.5271 Å, c = 9.0844 Å
α = 90.00°, β = 90.00°, γ = 90.00°
Last column: nearest neighbours and their distance in Å.
Fractional coordinates of all 4 atoms:
Tb 0.0000 0.0000 0.0000  4 Al 3.16, 4 Tb 3.53
Nd 0.5000 0.5000 0.2959  4 Nd 3.53, 4 Tm 3.60, 4 Tb 3.67
Tm 0.0000 0.0000 0.5823  4 Al 3.11
Al 0.5000 0.5000 0.7871  4 Tm 3.11, 4 Tb 3.16

Energy relative to the lowest polymorph listed for this composition (meV per atom): 0
Energy of formation (eV/atom): -0.19
Electronic total energy (eV per atom): -4.60
Symmetry: P4mm
Calculated density (g/cm³): 7.3


# 10
A relaxed structure of CaReSi2. Source: Alexandria via LeMat-Bulk, functional PBE.

a = 3.5262 Å, b = 4.1448 Å, c = 4.5372 Å
α = 90.00°, β = 90.00°, γ = 90.00°
Last column: nearest neighbours and their distance in Å.
Fractional coordinates of all 4 atoms:
Ca 0.0000 0.0000 0.0000  4 Si 2.72, 4 Re 2.87
Re 0.5000 0.0000 0.5000  4 Si 2.72, 4 Ca 2.87
Si 0.0000 0.5000 0.5000  4 Re 2.72, 4 Si 2.87
Si 0.5000 0.5000 0.0000  4 Ca 2.72, 4 Si 2.87

Electronic total energy (eV per atom): -5.91
Formation energy (no corrections) (eV per atom): 0.41
Symmetry: Pmmm
Calculated density (g/cm³): 7.1


# 11
A relaxed structure of Fe2Ni8Pt. Source: Alexandria via LeMat-Bulk, functional PBE.

a = 7.0512 Å, b = 7.0512 Å, c = 7.0512 Å
α = 144.49°, β = 139.25°, γ = 55.14°
Last column: nearest neighbours and their distance in Å.
Fractional coordinates of all 11 atoms:
Fe 0.1843 0.1843 0.0000  12 Ni 2.46-2.59
Fe 0.8157 0.8157 0.0000  12 Ni 2.46-2.59
Ni 0.0000 0.2462 0.2462  2 Ni 2.12-2.18
Ni 0.0000 0.7538 0.7538  2 Ni 2.12-2.18
Ni 0.1287 0.3660 0.7626  7 Ni 2.33-2.59, 3 Fe 2.55-2.59
Ni 0.2980 0.7980 0.5000  6 Ni 2.42-2.59, 4 Fe 2.46-2.58, 1 Pt 2.53
Ni 0.3966 0.6340 0.7626  7 Ni 2.33-2.59, 3 Fe 2.55-2.59
Ni 0.6034 0.3660 0.2374  7 Ni 2.33-2.59, 3 Fe 2.55-2.59
Ni 0.7020 0.2020 0.5000  6 Ni 2.42-2.59, 4 Fe 2.46-2.58, 1 Pt 2.53
Ni 0.8713 0.6340 0.2374  7 Ni 2.33-2.59, 3 Fe 2.55-2.59
Pt 0.5000 0.0000 0.5000  6 Ni 2.53-2.67

Energy relative to the lowest polymorph listed for this composition (meV per atom): 64
Energy of formation (eV/atom): 0.12
Electronic total energy (eV per atom): -6.17
Symmetry: Immm
Calculated density (g/cm³): 9.8


# 12
A relaxed structure of BaZr2TaO8. Source: Alexandria via LeMat-Bulk, functional PBE.

a = 4.9577 Å, b = 7.1672 Å, c = 4.9703 Å
α = 90.00°, β = 91.56°, γ = 90.00°
Last column: nearest neighbours and their distance in Å.
Fractional coordinates of all 12 atoms:
Ba 0.0000 0.0000 0.0000  6 O 2.52-2.59
Zr 0.5000 0.2743 0.5000  6 O 2.07-2.22
Zr 0.5000 0.7257 0.5000  6 O 2.07-2.22
Ta 0.0000 0.5000 0.0000  6 O 1.98-2.11
O 0.2048 0.3046 0.1995  1 Ta 1.98, 1 Zr 2.07
O 0.2048 0.6954 0.1995  1 Ta 1.98, 1 Zr 2.07
O 0.2940 0.5000 0.7022  1 Ta 2.11, 2 Zr 2.17
O 0.3488 0.0000 0.6396  1 O 2.07, 2 Zr 2.22
O 0.6512 0.0000 0.3604  1 O 2.07, 2 Zr 2.22
O 0.7060 0.5000 0.2978  1 Ta 2.11, 2 Zr 2.17
O 0.7952 0.3046 0.8005  1 Ta 1.98, 1 Zr 2.07
O 0.7952 0.6954 0.8005  1 Ta 1.98, 1 Zr 2.07

Electronic total energy (eV per atom): -8.69
Formation energy (no corrections) (eV per atom): -2.81
Symmetry: P2/m
Calculated density (g/cm³): 5.9